A relaxed PmSm2Y6Er crystal, computed with PBE.

Cell lengths 9.724, 8.806, 8.806 Å; angles 117.69, 94.60, 94.60 degrees
Fractional positions:
Sm: 0.955 0.703 0.804
Y: 0.685 0.017 0.571
Er: 0.250 0.408 0.592
Er: 0.750 0.592 0.408
Pm: 0.250 0.980 0.020
Y: 0.618 0.493 0.705
Y: 0.943 0.877 0.254
Y: 0.382 0.507 0.295
Y: 0.557 0.746 0.123
Y: 0.882 0.295 0.507
Sm: 0.545 0.196 0.297
Y: 0.315 0.983 0.429
Y: 0.443 0.254 0.877
Pm: 0.750 0.020 0.980
Sm: 0.045 0.297 0.196
Y: 0.118 0.705 0.493
Y: 0.057 0.123 0.746
Y: 0.815 0.429 0.983
Y: 0.185 0.571 0.017
Sm: 0.455 0.804 0.703

Calculated values
energy relative to the elements: 11 kJ per mole of atoms
M_tot: 0.00 μB per atom
VASP energy: -5.640 eV/atom
DOS at the Fermi energy: 1.4756 states/eV per atom